Entry 1:
The following is a DFT calculation (PBE) of crystalline ZnSeICl2 at its relaxed geometry.

Calculated values
spin magnetization: 1.9 μB/cell
energy: -1.521 eV/atom

Cell lengths 5.5145, 5.5145, 5.5305 Å; angles 90.00, 90.00, 90.00 degrees
Atoms (fractional coordinates):
Cl (0.0000, 0.5000, 0.0000)
Cl (0.5000, 0.0000, 0.0000)
Zn (0.0000, 0.0000, 0.5000)
Se (0.5000, 0.5000, 0.5000)
I (0.0000, 0.0000, 0.0000)

Entry 2:
The following is a DFT calculation (PBE) of crystalline SiI3Cl at its relaxed geometry.

Calculated values
spin magnetization: 1.0 μB/cell
energy: -2.148 eV/atom

Cell lengths 5.5083, 5.5083, 5.5083 Å; angles 90.00, 90.00, 90.00 degrees
Atoms (fractional coordinates):
Cl (0.5000, 0.5000, 0.5000)
I (0.0000, 0.5000, 0.0000)
I (0.0000, 0.0000, 0.5000)
I (0.5000, 0.0000, 0.0000)
Si (0.0000, 0.0000, 0.0000)

Entry 3:
The following is a DFT calculation (PBE) of crystalline Si2ICl at its relaxed geometry.

Calculated values
spin magnetization: 0.0 μB/cell
energy: -2.987 eV/atom

Cell lengths 7.8034, 7.8034, 6.4211 Å; angles 52.58, 52.58, 90.00 degrees
Atoms (fractional coordinates):
Cl (0.2500, 0.7500, 0.5000)
Si (0.6105, 0.1250, 0.2500)
Si (0.1395, 0.6250, 0.2500)
Si (0.3750, 0.3895, 0.7500)
Cl (0.5000, 0.5000, 0.0000)
I (0.7500, 0.2500, 0.5000)
I (0.0000, 0.0000, 0.0000)
Si (0.8750, 0.8605, 0.7500)

Entry 4:
The following is a DFT calculation (PBE) of crystalline SiI2Cl at its relaxed geometry.

Calculated values
spin magnetization: 0.0 μB/cell
energy: -2.428 eV/atom

Cell lengths 8.0437, 8.0437, 7.0833 Å; angles 55.40, 55.40, 90.00 degrees
Atoms (fractional coordinates):
I (0.5618, 0.1250, 0.2500)
I (0.8750, 0.8118, 0.7500)
Cl (0.7500, 0.2500, 0.5000)
I (0.1882, 0.6250, 0.2500)
Si (0.5000, 0.5000, 0.0000)
I (0.3750, 0.4382, 0.7500)
Si (0.2500, 0.7500, 0.5000)
Cl (0.0000, 0.0000, 0.0000)

Question: Among the records above, which one has the highest spin magnetization?
Answer: ZnSeICl2